The following is a PBE calculation of crystalline KLiTa2Zn at its relaxed geometry, from the Alexandria database.

Cell: 4.6190 4.6190 5.0164 Å, 90.00 90.00 90.00°
Fractional positions:
K1 0.0000 0.0000 0.0000
Li1 0.0000 0.0000 0.5000
Ta1 0.0000 0.5000 0.5000
Ta2 0.5000 0.0000 0.5000
Zn1 0.5000 0.5000 0.0000

Summary:
- space-group type = P4/mmm
- calculated formation energy (meV per atom) = 1746
- ρ (Mg/m³) = 7.344